1.
Entry from Alexandria: an optimized crystal structure of Ca2ErUS6 (PBE).

The structure in extended XYZ format:
```
10
Lattice="5.292 0.000 0.000 0.000 7.340 0.000 0.000 0.000 7.340" Properties=species:S:1:pos:R:3 pbc="T T T"
Ca 5.075 3.670 0.000
Ca 5.075 0.000 3.670
Er 3.371 3.670 3.670
U 3.578 0.000 0.000
S 3.799 1.809 1.809
S 3.799 1.809 5.531
S 0.819 3.670 3.670
S 1.002 0.000 0.000
S 3.799 5.531 5.531
S 3.799 5.531 1.809
```

raw formation energy: -153 kJ per mole of atoms
M_tot: 0.10 μB per atom
crystal system: tetragonal

2.
Entry from Alexandria: an optimized crystal structure of Ce4InCo (PBE).

The structure in extended XYZ format:
```
12
Lattice="-4.999 1.757 -2.558 1.235 -7.570 -1.037 -1.669 1.508 7.776" Properties=species:S:1:pos:R:3 pbc="T T T"
Ce -1.371 -0.030 6.239
Ce -4.140 -3.294 1.968
Ce -2.088 -3.195 5.073
Ce -1.510 -5.125 3.102
Ce -3.922 0.820 1.079
Ce -3.345 -1.109 -0.892
Ce -1.293 -1.011 2.213
Ce -4.061 -4.275 -2.058
In -1.436 -3.662 0.196
In -3.997 -0.642 3.985
Co -1.346 0.401 -0.477
Co -4.086 -4.706 4.658
```

M_tot: 0.04 μB per atom
E above lowest polymorph: 20.7 kJ/mol of formula units
energy relative to the elements: -0.94 eV/f.u.
crystal system: monoclinic

3.
Entry from Alexandria: an optimized crystal structure of Pr3Y3Er4 (PBE).

The structure in extended XYZ format:
```
10
Lattice="-2.832 1.602 -1.751 -5.310 -7.708 1.539 -2.954 3.744 8.200" Properties=species:S:1:pos:R:3 pbc="T T T"
Pr -6.318 -4.923 1.818
Pr -4.108 -0.488 2.299
Pr -6.987 -1.870 5.692
Y -5.569 -0.071 8.941
Y -1.507 1.877 4.155
Y -4.780 2.551 6.165
Er -4.427 -3.415 4.036
Er -3.836 -0.545 5.706
Er -7.244 -3.496 8.519
Er -1.029 -0.514 1.194
```

M_tot: 0.00 μB per atom
energy relative to the elements: 0.83 eV/f.u.
crystal system: orthorhombic